[1]
VASP calculation (GGA-PBE) on a relaxed structure of TaNbFe.

a = 5.951 Å, b = 5.945 Å, c = 6.624 Å
α = 90.00°, β = 116.54°, γ = 90.00°
Space group C2/m (No. 12)
Asymmetric unit:
Ta1 0.000 0.250 0.000 x4
Nb1 0.250 0.250 0.500 x4
Fe1 0.128 0.000 0.757 x4

Values from the calculation:
Volume (Å³/f.u.): 52.4
Polymorph energy (0 for the lowest one) (meV/atom): 371.1
ΔH_f (0 K) (meV/atom): 273
Total magnetic moment (μB per formula unit): 0.00


[2]
VASP calculation (GGA-PBE) on a relaxed structure of Ac3Be2Si4.

a = 11.761 Å, b = 4.056 Å, c = 8.441 Å
α = 90.00°, β = 92.76°, γ = 90.00°
Space group C2/m (No. 12)
Asymmetric unit:
Ac1 0.000 0.000 0.000 x2
Ac2 0.165 0.500 0.667 x4
Be1 0.109 0.500 0.280 x4
Si1 0.060 0.000 0.384 x4
Si2 0.217 0.500 0.064 x4

Values from the calculation:
Total energy (eV per formula unit): -46.46
Volume (Å³/f.u.): 201.1
Total magnetic moment (μB per formula unit): 0.00